Material: NaCd3Hg3
Method: DFT, GGA-PBE
State: relaxed

## Properties
calculated total energy	-0.558	eV/atom
spin magnetization	0.0	μB per formula unit
energy relative to the lowest polymorph listed for this composition	21.9	kJ per mole of atoms
energy of formation	0.152	eV per atom

Lattice parameters (Å, degrees): 8.0310 8.0310 8.0310 90.00 90.00 90.00
Last column: nearest neighbours and their distance in Å.
Space group Pm-3n (No. 223)
Symmetry-distinct sites (fractional):
1 Na 0.0000 0.0000 0.0000  12 Hg 4.49, 12 Cd 4.49
2 Cd 0.0000 0.2500 0.5000  4 Hg 2.84
3 Hg 0.0000 0.5000 0.2500  4 Cd 2.84